(1)
Below is crystalline Nb2CuSi2 at its relaxed geometry, with properties calculated at the PBE level.

Summary:
- ΔE_f (raw): -1.97 eV per formula unit
- Volume: 75.2 Å³/f.u.
- DOS(E_F): 0.94 states/eV per atom

Lattice parameters (Å, degrees): 6.4197 6.4197 3.6479 90.00 90.00 90.00
Fractional coordinates of all 10 atoms:
Nb1 0.1723 0.3277 0.0000
Nb2 0.3277 0.8277 0.0000
Nb3 0.6723 0.1723 0.0000
Nb4 0.8277 0.6723 0.0000
Cu1 0.0000 0.0000 0.5000
Cu2 0.5000 0.5000 0.5000
Si1 0.1304 0.6304 0.5000
Si2 0.3696 0.1304 0.5000
Si3 0.6304 0.8696 0.5000
Si4 0.8696 0.3696 0.5000

---

(2)
Below is crystalline Li2VB2Pt5 at its relaxed geometry, with properties calculated at the PBE level.

Summary:
- Energy of formation from the pure elements: -4.7 eV per formula unit
- Volume: 136.8 Å³/f.u.
- DOS(E_F): 0.48 states/eV per atom

Lattice parameters (Å, degrees): 9.9329 9.9329 2.7738 90.00 90.00 90.00
Fractional coordinates of all 20 atoms:
Li1 0.1851 0.3149 0.0000
Li2 0.3149 0.8149 0.0000
Li3 0.6851 0.1851 0.0000
Li4 0.8149 0.6851 0.0000
V1 0.0000 0.0000 0.0000
V2 0.5000 0.5000 0.0000
B1 0.1264 0.6264 0.0000
B2 0.3736 0.1264 0.0000
B3 0.6264 0.8736 0.0000
B4 0.8736 0.3736 0.0000
Pt1 0.0000 0.5000 0.5000
Pt2 0.0565 0.7788 0.5000
Pt3 0.2212 0.0565 0.5000
Pt4 0.2788 0.5565 0.5000
Pt5 0.4435 0.2788 0.5000
Pt6 0.5000 0.0000 0.5000
Pt7 0.5565 0.7212 0.5000
Pt8 0.7212 0.4435 0.5000
Pt9 0.7788 0.9435 0.5000
Pt10 0.9435 0.2212 0.5000

---

> Among the records above, which one has the lowest volume?

Nb2CuSi2